# GGA-PBE Ba2NaAgRh, optimized geometry
data_Ba2NaAgRh
_chemical_formula_sum 'Ba2 Na1 Ag1 Rh1'
_space_group_name_H-M_alt 'P 1'
_space_group_IT_number 1
_space_group_name_Hall 'P 1'
_cell_length_a 5.866
_cell_length_b 5.866
_cell_length_c 5.432
_cell_angle_alpha 90.00
_cell_angle_beta 90.00
_cell_angle_gamma 90.00
loop_
_atom_site_label
_atom_site_type_symbol
_atom_site_fract_x
_atom_site_fract_y
_atom_site_fract_z
Na1 Na 0.000 0.000 0.500
Rh1 Rh 0.000 0.000 0.000
Ba1 Ba 0.000 0.500 0.000
Ba2 Ba 0.500 0.000 0.000
Ag1 Ag 0.500 0.500 0.500
# - distance to the lowest polymorph of the same formula (eV/f.u.) = 0.21
# - DFT formation energy (eV per atom) = 0.01
# - total magnetic moment (μB/f.u.) = 0.00